[1]
This record from the Alexandria database describes TaTl2Ag at its PBEsol-relaxed geometry. The functional is meta-GGA SCAN.

Values from the calculation:
- DFT formation energy (eV/atom) = 0.612
- total magnetic moment (μB/cell) = 0.00
- energy above the lowest structure with this stoichiometry (meV per atom) = 19
- E (eV/atom) = -60.0548

Cell: 3.084 4.992 5.394 Å, 90.00 90.00 90.00°
Fractional positions:
Ta1 0.000 0.000 0.000
Tl1 0.000 0.500 0.500
Tl2 0.500 0.500 0.000
Ag1 0.500 0.000 0.500



[2]
This record from the Alexandria database describes TaTl2Ag at its PBEsol-relaxed geometry. The functional is meta-GGA SCAN.

Values from the calculation:
- DFT formation energy (eV/atom) = 0.622
- total magnetic moment (μB/cell) = 0.00
- energy above the lowest structure with this stoichiometry (meV per atom) = 29
- E (eV/atom) = -60.0448

Cell: 4.072 4.072 9.763 Å, 90.00 90.00 90.00°
Fractional positions:
Ta1 0.000 0.000 0.000
Ta2 0.500 0.500 0.500
Tl1 0.000 0.000 0.500
Tl2 0.000 0.500 0.250
Tl3 0.500 0.000 0.750
Tl4 0.500 0.500 0.000
Ag1 0.000 0.500 0.750
Ag2 0.500 0.000 0.250



[3]
This record from the Alexandria database describes TaTlAg2 at its PBEsol-relaxed geometry. The functional is meta-GGA SCAN.

Values from the calculation:
- DFT formation energy (eV/atom) = 0.441
- total magnetic moment (μB/cell) = 0.00
- E (eV/atom) = -49.9775

Cell: 2.929 4.268 5.934 Å, 90.00 90.00 90.00°
Fractional positions:
Ta1 0.000 0.000 0.000
Tl1 0.000 0.000 0.500
Ag1 0.500 0.500 0.231
Ag2 0.500 0.500 0.769



[4]
This record from the Alexandria database describes TaAg2W at its PBEsol-relaxed geometry. The functional is meta-GGA SCAN.

Values from the calculation:
- DFT formation energy (eV/atom) = 0.525
- total magnetic moment (μB/cell) = 0.00
- energy above the lowest structure with this stoichiometry (meV per atom) = 0
- E (eV/atom) = -49.2263

Cell: 5.366 9.739 2.693 Å, 90.00 110.18 90.00°
Fractional positions:
Ta1 0.000 0.000 0.000
Ta2 0.500 0.500 0.000
Ag1 0.250 0.250 0.500
Ag2 0.250 0.750 0.500
Ag3 0.750 0.250 0.500
Ag4 0.750 0.750 0.500
W1 0.000 0.500 0.000
W2 0.500 0.000 0.000



[5]
This record from the Alexandria database describes TaAg2W at its PBEsol-relaxed geometry. The functional is meta-GGA SCAN.

Values from the calculation:
- DFT formation energy (eV/atom) = 0.683
- total magnetic moment (μB/cell) = 0.00
- energy above the lowest structure with this stoichiometry (meV per atom) = 159
- E (eV/atom) = -49.0679

Cell: 2.998 4.886 9.221 Å, 90.00 90.00 90.00°
Fractional positions:
Ta1 0.000 0.000 0.000
Ta2 0.500 0.500 0.500
Ag1 0.000 0.000 0.489
Ag2 0.000 0.500 0.239
Ag3 0.500 0.000 0.739
Ag4 0.500 0.500 0.989
W1 0.000 0.500 0.731
W2 0.500 0.000 0.231



[6]
This record from the Alexandria database describes TaAg2W at its PBEsol-relaxed geometry. The functional is meta-GGA SCAN.

Values from the calculation:
- DFT formation energy (eV/atom) = 0.525
- total magnetic moment (μB/cell) = 0.00
- energy above the lowest structure with this stoichiometry (meV per atom) = 0
- E (eV/atom) = -49.2267

Cell: 2.789 2.789 29.321 Å, 90.00 90.00 120.00°
Fractional positions:
Ta1 0.000 0.000 0.000
Ta2 0.333 0.667 0.667
Ta3 0.667 0.333 0.333
Ag1 0.000 0.000 0.249
Ag2 0.000 0.000 0.751
Ag3 0.333 0.667 0.418
Ag4 0.333 0.667 0.916
Ag5 0.667 0.333 0.084
Ag6 0.667 0.333 0.582
W1 0.000 0.000 0.500
W2 0.333 0.667 0.167
W3 0.667 0.333 0.833



[7]
This record from the Alexandria database describes TaAg2W at its PBEsol-relaxed geometry. The functional is meta-GGA SCAN.

Values from the calculation:
- DFT formation energy (eV/atom) = 0.883
- total magnetic moment (μB/cell) = 0.00
- energy above the lowest structure with this stoichiometry (meV per atom) = 358
- E (eV/atom) = -48.8683

Cell: 4.923 4.923 2.736 Å, 90.00 90.00 90.00°
Fractional positions:
Ta1 0.000 0.000 0.000
Ag1 0.000 0.500 0.500
Ag2 0.500 0.000 0.500
W1 0.500 0.500 0.000



[8]
This record from the Alexandria database describes TaAg2W at its PBEsol-relaxed geometry. The functional is meta-GGA SCAN.

Values from the calculation:
- DFT formation energy (eV/atom) = 0.581
- total magnetic moment (μB/cell) = 0.00
- energy above the lowest structure with this stoichiometry (meV per atom) = 57
- E (eV/atom) = -49.1701

Cell: 2.700 2.700 8.943 Å, 90.00 90.00 90.00°
Fractional positions:
Ta1 0.000 0.000 0.000
Ag1 0.500 0.500 0.253
Ag2 0.500 0.500 0.747
W1 0.000 0.000 0.500



[9]
This record from the Alexandria database describes YTaAg3 at its PBEsol-relaxed geometry. The functional is meta-GGA SCAN.

Values from the calculation:
- DFT formation energy (eV/atom) = 1.818
- total magnetic moment (μB/cell) = 0.00
- E (eV/atom) = -35.8878

Cell: 4.934 4.934 4.934 Å, 90.00 90.00 90.00°
Fractional positions:
Y1 0.000 0.000 0.000
Ta1 0.500 0.500 0.500
Ag1 0.000 0.000 0.500
Ag2 0.000 0.500 0.000
Ag3 0.500 0.000 0.000



[10]
This record from the Alexandria database describes YTaAg2 at its PBEsol-relaxed geometry. The functional is meta-GGA SCAN.

Values from the calculation:
- DFT formation energy (eV/atom) = 0.205
- total magnetic moment (μB/cell) = 0.00
- energy above the lowest structure with this stoichiometry (meV per atom) = 0
- E (eV/atom) = -39.0855

Cell: 2.968 2.968 8.606 Å, 90.00 90.00 90.00°
Fractional positions:
Y1 0.000 0.000 0.000
Ta1 0.000 0.000 0.500
Ag1 0.500 0.500 0.267
Ag2 0.500 0.500 0.733



[11]
This record from the Alexandria database describes YTaAg2 at its PBEsol-relaxed geometry. The functional is meta-GGA SCAN.

Values from the calculation:
- DFT formation energy (eV/atom) = 0.311
- total magnetic moment (μB/cell) = 0.00
- energy above the lowest structure with this stoichiometry (meV per atom) = 107
- E (eV/atom) = -38.9786

Cell: 3.024 5.041 10.200 Å, 90.00 90.00 90.00°
Fractional positions:
Y1 0.000 0.000 0.000
Y2 0.500 0.500 0.500
Ta1 0.000 0.500 0.233
Ta2 0.500 0.000 0.733
Ag1 0.000 0.000 0.492
Ag2 0.000 0.500 0.765
Ag3 0.500 0.000 0.265
Ag4 0.500 0.500 0.992



[12]
This record from the Alexandria database describes Y2TaAg at its PBEsol-relaxed geometry. The functional is meta-GGA SCAN.

Values from the calculation:
- DFT formation energy (eV/atom) = 0.407
- total magnetic moment (μB/cell) = 0.02
- E (eV/atom) = -38.0018

Cell: 3.209 3.209 30.823 Å, 90.00 90.00 120.00°
Fractional positions:
Y1 0.000 0.000 0.000
Y2 0.000 0.000 0.231
Y3 0.333 0.667 0.667
Y4 0.333 0.667 0.898
Y5 0.667 0.333 0.333
Y6 0.667 0.333 0.564
Ta1 0.000 0.000 0.746
Ta2 0.333 0.667 0.413
Ta3 0.667 0.333 0.079
Ag1 0.000 0.000 0.484
Ag2 0.333 0.667 0.151
Ag3 0.667 0.333 0.817